DFT (GGA-PBE) results for crystalline Ac6PrPt4 at its relaxed geometry.

Cell: 6.375 6.375 10.042 Å, 110.13 110.13 84.56°
Fractional coordinates of all 11 atoms:
1 Ac 0.000 0.000 0.000
2 Ac 0.370 0.889 0.715
3 Ac 0.466 0.963 0.382
4 Ac 0.541 0.541 0.998
5 Ac 0.889 0.370 0.715
6 Ac 0.963 0.466 0.382
7 Pr 0.423 0.423 0.302
8 Pt 0.063 0.537 0.059
9 Pt 0.356 0.356 0.645
10 Pt 0.537 0.063 0.059
11 Pt 0.836 0.836 0.647

volume	32.70	A^3/atom
electronic total energy	-5.615	eV/atom
spin magnetization	0.0	μB per formula unit
formation enthalpy at 0 K	-0.743	eV/atom